A plane-wave DFT calculation with PBE-GGA was carried out for MgTlIn after structural relaxation.

Calculated values
ρ (kg/m³): 7147
Space group: P3m1
N(E_F) (states/eV/cell): 1.9
Total energy (eV per atom): -2.20
Energy of formation (eV per atom): 0.037

Geometry as extended XYZ:
```
3
Lattice="5.251 0.000 0.000 -2.625 4.547 0.000 0.000 0.000 3.342" Properties=species:S:1:pos:R:3 pbc="T T T"
Tl 0.000 3.031 2.189
Mg 2.625 1.516 1.115
In 0.000 0.000 0.038
```

=====

A plane-wave DFT calculation with PBE-GGA was carried out for Mg4TlIn3 after structural relaxation.

Calculated values
ρ (kg/m³): 5581
Space group: Pmma
N(E_F) (states/eV/cell): 5.1
Total energy (eV per atom): -2.18
Energy of formation (eV per atom): -0.060

Geometry as extended XYZ:
```
16
Lattice="5.591 0.000 0.000 0.000 6.729 0.000 0.000 0.000 10.220" Properties=species:S:1:pos:R:3 pbc="T T T"
Mg 2.795 5.071 0.000
Mg 2.795 5.071 5.110
Mg 2.795 1.658 0.000
Mg 2.795 1.658 5.110
Mg 0.688 5.068 7.665
Mg 4.903 5.068 2.555
Mg 4.903 1.661 2.555
Mg 0.688 1.661 7.665
Tl 0.000 3.365 0.000
Tl 0.000 3.365 5.110
In 0.000 0.000 0.000
In 0.000 0.000 5.110
In 3.462 0.000 7.665
In 2.128 0.000 2.555
In 3.357 3.365 7.665
In 2.234 3.365 2.555
```

=====

A plane-wave DFT calculation with PBE-GGA was carried out for MgTlIn5 after structural relaxation.

Calculated values
ρ (kg/m³): 6833
Space group: C2/c
N(E_F) (states/eV/cell): 6.1
Total energy (eV per atom): -2.48
Energy of formation (eV per atom): 0.046

Geometry as extended XYZ:
```
14
Lattice="-2.713 -9.835 2.168 3.307 5.274 2.976 -4.848 3.099 7.994" Properties=species:S:1:pos:R:3 pbc="T T T"
Mg 0.000 0.000 0.000
Mg -2.424 1.550 3.997
Tl -2.528 -3.994 3.050
Tl -5.033 -2.741 7.112
In 0.560 1.611 2.552
In -3.549 -5.636 5.749
In -2.454 1.022 7.021
In -1.664 -0.865 2.360
In 0.565 -1.557 4.314
In -4.819 0.096 8.824
In -5.897 -5.870 7.802
In -1.801 -2.483 6.117
In -0.706 4.175 7.389
In -4.815 -3.072 10.585
```

=====

A plane-wave DFT calculation with PBE-GGA was carried out for MgTlIn after structural relaxation.

Calculated values
ρ (kg/m³): 7318
Space group: I4mm
N(E_F) (states/eV/cell): 1.5
Total energy (eV per atom): -2.24
Energy of formation (eV per atom): -0.010

Geometry as extended XYZ:
```
3
Lattice="6.927 -0.121 0.000 5.271 4.496 0.000 -6.099 -2.188 2.452" Properties=species:S:1:pos:R:3 pbc="T T T"
Tl 8.202 2.942 0.000
Mg 4.108 1.474 0.000
In 12.085 4.335 0.000
```

=====

A plane-wave DFT calculation with PBE-GGA was carried out for Mg2Tl2In5 after structural relaxation.

Calculated values
ρ (kg/m³): 7139
Space group: C2/m
N(E_F) (states/eV/cell): 4.1
Total energy (eV per atom): -2.39
Energy of formation (eV per atom): 0.008

Geometry as extended XYZ:
```
9
Lattice="-0.836 -2.493 -5.078 4.465 2.952 -2.185 -0.898 -7.968 7.279" Properties=species:S:1:pos:R:3 pbc="T T T"
Mg 2.018 -2.378 -2.384
Mg 0.714 -5.131 2.401
Tl -0.519 -7.673 0.633
Tl 3.250 0.164 -0.616
In 3.336 0.431 -3.980
In -0.604 -7.940 3.997
In 0.673 -4.930 -0.910
In 2.058 -2.579 0.927
In 0.000 0.000 0.000
```

=====

A plane-wave DFT calculation with PBE-GGA was carried out for MgTl3In after structural relaxation.

Calculated values
ρ (kg/m³): 7475
Space group: Amm2
N(E_F) (states/eV/cell): 2.8
Total energy (eV per atom): -2.12
Energy of formation (eV per atom): 0.168

Geometry as extended XYZ:
```
5
Lattice="-1.850 -1.971 1.882 4.583 -3.801 0.524 0.347 6.037 6.665" Properties=species:S:1:pos:R:3 pbc="T T T"
Mg 2.386 3.740 6.264
Tl 0.785 -1.029 2.576
Tl 3.095 -2.945 2.841
Tl 3.708 0.320 3.982
In 3.656 0.704 7.215
```

=====

A plane-wave DFT calculation with PBE-GGA was carried out for MgTl14In after structural relaxation.

Calculated values
ρ (kg/m³): 10459
Space group: Amm2
N(E_F) (states/eV/cell): 6.4
Total energy (eV per atom): -2.33
Energy of formation (eV per atom): 0.013

Geometry as extended XYZ:
```
16
Lattice="-0.831 1.651 -6.694 -0.996 -6.555 2.064 -10.963 2.270 1.921" Properties=species:S:1:pos:R:3 pbc="T T T"
Mg -6.388 -0.972 -1.722
Tl -0.962 -4.857 0.252
Tl -0.880 -0.767 -4.114
Tl -5.967 -1.724 1.569
Tl -0.465 -1.558 -0.810
Tl -6.889 -4.199 -0.767
Tl -1.376 -4.003 -3.119
Tl -8.516 1.454 -0.818
Tl -3.321 0.378 -1.729
Tl -9.429 -0.997 -3.131
Tl -4.234 -2.072 -4.041
Tl -9.117 -1.801 0.232
Tl -3.715 -2.919 -0.715
Tl -9.077 2.319 -4.148
Tl -3.591 1.183 -5.109
In -6.470 -5.080 2.661
```

=====

A plane-wave DFT calculation with PBE-GGA was carried out for Mg6TlIn5 after structural relaxation.

Calculated values
ρ (kg/m³): 5008
Space group: C2/m
N(E_F) (states/eV/cell): 3.3
Total energy (eV per atom): -2.15
Energy of formation (eV per atom): -0.013

Geometry as extended XYZ:
```
12
Lattice="-8.037 1.644 2.592 -0.528 -1.921 5.562 1.583 4.707 4.914" Properties=species:S:1:pos:R:3 pbc="T T T"
Mg -5.117 2.687 4.461
Mg -2.039 1.360 5.320
Mg -1.761 -0.372 2.514
Mg -6.804 0.095 5.640
Mg -4.943 3.070 7.748
Mg -1.865 1.743 8.607
Tl 0.000 0.000 0.000
In -2.862 4.219 5.717
In 0.490 1.353 3.652
In -4.282 -0.139 4.077
In 0.565 1.432 6.824
In -4.120 0.210 7.351
```

=====

A plane-wave DFT calculation with PBE-GGA was carried out for Mg7TlIn4 after structural relaxation.

Calculated values
ρ (kg/m³): 4431
Space group: C2/m
N(E_F) (states/eV/cell): 5.0
Total energy (eV per atom): -2.00
Energy of formation (eV per atom): 0.041

Geometry as extended XYZ:
```
12
Lattice="-1.176 -2.332 4.735 3.135 -8.640 -0.389 5.139 0.927 4.821" Properties=species:S:1:pos:R:3 pbc="T T T"
Mg 4.673 -8.995 5.994
Mg 2.425 -1.049 3.173
Mg 2.947 -5.665 1.030
Mg 4.151 -4.379 8.138
Mg 5.087 -5.091 4.932
Mg -0.588 -1.166 2.367
Mg 2.011 -4.953 4.236
Tl 0.000 0.000 0.000
In 3.284 -2.674 5.674
In 3.814 -7.371 3.493
In 5.926 -6.643 7.463
In 1.172 -3.401 1.704
```

=====

A plane-wave DFT calculation with PBE-GGA was carried out for Mg2Tl6In after structural relaxation.

Calculated values
ρ (kg/m³): 8920
Space group: C2/m
N(E_F) (states/eV/cell): 3.5
Total energy (eV per atom): -2.22
Energy of formation (eV per atom): 0.020

Geometry as extended XYZ:
```
9
Lattice="-2.760 -0.459 -1.902 1.698 -6.963 -3.791 -4.716 -6.899 5.502" Properties=species:S:1:pos:R:3 pbc="T T T"
Mg -0.556 -8.889 -3.064
Mg -5.222 -5.431 2.873
Tl -2.037 -3.522 -2.211
Tl -3.741 -10.799 2.020
Tl -2.201 -9.437 -0.545
Tl -0.438 -6.380 -0.833
Tl -5.341 -7.941 0.642
Tl -3.578 -4.884 0.354
In 0.000 0.000 0.000
```

=====

A plane-wave DFT calculation with PBE-GGA was carried out for MgTlIn3 after structural relaxation.

Calculated values
ρ (kg/m³): 5712
Space group: Pm-3m
N(E_F) (states/eV/cell): 4.9
Total energy (eV per atom): -2.14
Energy of formation (eV per atom): 0.294

Geometry as extended XYZ:
```
5
Lattice="5.503 0.000 0.000 0.000 5.503 0.000 0.000 0.000 5.503" Properties=species:S:1:pos:R:3 pbc="T T T"
Tl 2.751 2.751 2.751
Mg 0.000 0.000 0.000
In 0.000 2.751 0.000
In 0.000 0.000 2.751
In 2.751 0.000 0.000
```

=====

A plane-wave DFT calculation with PBE-GGA was carried out for MgTl8In3 after structural relaxation.

Calculated values
ρ (kg/m³): 8613
Space group: P-31m
N(E_F) (states/eV/cell): 5.2
Total energy (eV per atom): -2.28
Energy of formation (eV per atom): 0.115

Geometry as extended XYZ:
```
12
Lattice="-6.833 -2.819 4.002 -0.001 0.637 -8.381 2.175 -5.910 -0.450" Properties=species:S:1:pos:R:3 pbc="T T T"
Mg 1.087 -2.955 -0.225
Tl -0.551 -5.218 -1.760
Tl -2.963 -6.419 2.364
Tl -5.174 -6.899 -2.012
Tl -4.109 -2.874 -3.069
Tl -1.697 -1.673 -7.193
Tl 0.514 -1.192 -2.818
Tl -1.191 -3.470 -4.479
Tl -3.469 -4.622 -0.351
In -0.104 -6.425 -4.704
In -4.556 -1.667 -0.126
In 0.000 0.000 0.000
```

=====

A plane-wave DFT calculation with PBE-GGA was carried out for Mg2TlIn4 after structural relaxation.

Calculated values
ρ (kg/m³): 5819
Space group: I4/mmm
N(E_F) (states/eV/cell): 4.4
Total energy (eV per atom): -2.21
Energy of formation (eV per atom): 0.145

Geometry as extended XYZ:
```
7
Lattice="5.844 0.000 0.000 0.000 5.844 0.000 -2.922 -2.922 5.952" Properties=species:S:1:pos:R:3 pbc="T T T"
Mg 2.922 2.922 1.615
Mg 0.000 0.000 4.337
Tl 0.000 0.000 0.000
In 2.922 0.000 2.976
In 0.000 2.922 2.976
In 2.922 0.000 0.000
In 0.000 2.922 0.000
```

=====

A plane-wave DFT calculation with PBE-GGA was carried out for Mg6Tl5In after structural relaxation.

Calculated values
ρ (kg/m³): 7160
Space group: C2/m
N(E_F) (states/eV/cell): 4.0
Total energy (eV per atom): -2.05
Energy of formation (eV per atom): -0.036

Geometry as extended XYZ:
```
12
Lattice="-1.668 -4.672 1.080 6.044 -3.057 -3.891 2.020 4.283 7.616" Properties=species:S:1:pos:R:3 pbc="T T T"
Mg 3.496 -2.835 3.712
Mg 0.449 -1.298 5.667
Mg 3.717 -4.633 -2.385
Mg 2.679 1.187 7.191
Mg 5.947 -2.148 -0.861
Mg 2.900 -0.611 1.094
Tl 0.569 -2.181 2.596
Tl 2.808 0.277 4.144
Tl 3.022 -1.529 -1.945
Tl 3.588 -3.723 0.662
Tl 5.827 -1.265 2.210
In 0.000 0.000 0.000
```

=====

A plane-wave DFT calculation with PBE-GGA was carried out for Mg2TlIn5 after structural relaxation.

Calculated values
ρ (kg/m³): 6385
Space group: Immm
N(E_F) (states/eV/cell): 2.6
Total energy (eV per atom): -2.39
Energy of formation (eV per atom): 0.014

Geometry as extended XYZ:
```
8
Lattice="4.715 0.000 0.000 2.358 6.732 -0.552 2.358 0.694 6.719" Properties=species:S:1:pos:R:3 pbc="T T T"
Mg 7.073 6.033 5.010
Mg 2.358 1.394 1.157
Tl 0.000 0.000 0.000
In 2.358 3.713 3.083
In 4.715 3.574 0.773
In 4.715 3.852 5.394
In 4.715 6.010 2.796
In 4.715 1.416 3.371
```

=====

A plane-wave DFT calculation with PBE-GGA was carried out for MgTlIn after structural relaxation.

Calculated values
ρ (kg/m³): 7168
Space group: P-6m2
N(E_F) (states/eV/cell): 3.9
Total energy (eV per atom): -2.22
Energy of formation (eV per atom): 0.012

Geometry as extended XYZ:
```
6
Lattice="-0.973 -2.324 2.426 2.340 -0.895 -2.440 11.121 4.685 8.950" Properties=species:S:1:pos:R:3 pbc="T T T"
Mg 0.000 0.000 0.000
Mg 6.796 0.971 3.657
In 3.790 1.596 3.050
In 7.331 3.088 5.900
Tl 10.530 2.544 6.661
Tl 3.063 -0.602 0.653
```

=====

A plane-wave DFT calculation with PBE-GGA was carried out for Mg5Tl3In after structural relaxation.

Calculated values
ρ (kg/m³): 6397
Space group: P6_3/mcm
N(E_F) (states/eV/cell): 8.8
Total energy (eV per atom): -2.00
Energy of formation (eV per atom): -0.021

Geometry as extended XYZ:
```
18
Lattice="-5.999 -0.776 -1.409 1.431 -8.859 -1.214 -2.324 3.133 8.171" Properties=species:S:1:pos:R:3 pbc="T T T"
Mg 0.179 -4.862 1.914
Mg -4.072 -1.252 4.338
Mg -1.072 -0.864 5.043
Mg -2.820 -5.250 1.210
Mg -5.123 -4.582 3.804
Mg -3.768 -8.497 0.192
Mg -4.068 -3.252 -1.422
Mg -1.769 -1.919 1.744
Mg -3.123 1.995 5.357
Mg -0.500 -6.384 -1.200
Tl -4.827 -2.687 1.502
Tl -4.537 -7.460 2.896
Tl -3.594 -6.183 -1.824
Tl -2.064 -3.814 4.046
Tl -2.354 0.958 2.653
Tl -0.973 -3.452 -0.799
In 0.000 0.000 0.000
In -2.999 -0.388 -0.704
```

=====

A plane-wave DFT calculation with PBE-GGA was carried out for MgTl6In2 after structural relaxation.

Calculated values
ρ (kg/m³): 9397
Space group: P-6m2
N(E_F) (states/eV/cell): 2.3
Total energy (eV per atom): -2.36
Energy of formation (eV per atom): 0.006

Geometry as extended XYZ:
```
9
Lattice="-0.008 2.934 1.863 1.448 -2.880 1.300 21.931 6.471 -10.096" Properties=species:S:1:pos:R:3 pbc="T T T"
Mg 0.963 -0.942 1.488
Tl 20.204 6.817 -7.406
Tl 10.499 1.872 -2.903
Tl 18.180 4.138 -6.438
Tl 5.677 0.449 -0.683
Tl 13.358 2.715 -4.218
Tl 2.682 1.647 0.660
In 7.623 3.105 -1.614
In 15.263 5.359 -5.131
```

=====

A plane-wave DFT calculation with PBE-GGA was carried out for MgTl8In6 after structural relaxation.

Calculated values
ρ (kg/m³): 8680
Space group: R-3
N(E_F) (states/eV/cell): 7.8
Total energy (eV per atom): -2.43
Energy of formation (eV per atom): 0.039

Geometry as extended XYZ:
```
15
Lattice="-4.476 -5.851 -2.159 3.100 -6.871 -1.454 -1.550 -6.518 7.228" Properties=species:S:1:pos:R:3 pbc="T T T"
Mg 0.000 0.000 0.000
Tl -3.284 -11.173 2.782
Tl -3.154 -8.384 0.292
Tl -1.012 -11.197 -0.190
Tl -0.917 -5.197 2.339
Tl -2.008 -14.042 1.276
Tl -1.913 -8.042 3.805
Tl 0.228 -10.855 3.323
Tl 0.358 -8.066 0.833
In 1.219 -4.877 -0.246
In -1.779 -16.472 3.597
In -1.152 -13.483 4.486
In -1.774 -5.756 -0.871
In -1.147 -2.767 0.017
In -4.145 -14.362 3.861
```

=====

A plane-wave DFT calculation with PBE-GGA was carried out for Mg2Tl4In after structural relaxation.

Calculated values
ρ (kg/m³): 8150
Space group: Pbca
N(E_F) (states/eV/cell): 13.2
Total energy (eV per atom): -2.16
Energy of formation (eV per atom): 0.037

Geometry as extended XYZ:
```
28
Lattice="5.966 0.000 0.000 0.000 7.612 0.000 0.000 0.000 17.604" Properties=species:S:1:pos:R:3 pbc="T T T"
Mg 5.484 6.500 16.477
Mg 2.501 4.918 1.127
Mg 0.482 2.694 9.930
Mg 3.465 1.112 7.675
Mg 0.482 1.112 1.127
Mg 3.465 2.694 16.477
Mg 5.484 4.918 7.675
Mg 2.501 6.500 9.930
Tl 5.092 5.279 10.988
Tl 2.109 6.139 6.617
Tl 0.874 1.473 15.419
Tl 3.857 2.333 2.186
Tl 0.874 2.333 6.617
Tl 3.857 1.473 10.988
Tl 5.092 6.139 2.186
Tl 2.109 5.279 15.419
Tl 0.887 0.226 12.342
Tl 3.870 3.580 5.262
Tl 5.079 4.032 14.064
Tl 2.096 7.386 3.540
Tl 5.079 7.386 5.262
Tl 2.096 4.032 12.342
Tl 0.887 3.580 3.540
Tl 3.870 0.226 14.064
In 0.000 0.000 8.802
In 2.983 3.806 8.802
In 0.000 3.806 0.000
In 2.983 0.000 0.000
```

=====

A plane-wave DFT calculation with PBE-GGA was carried out for Mg12Tl3In after structural relaxation.

Calculated values
ρ (kg/m³): 4588
Space group: P4/mmm
N(E_F) (states/eV/cell): 7.9
Total energy (eV per atom): -1.86
Energy of formation (eV per atom): -0.048

Geometry as extended XYZ:
```
16
Lattice="4.478 0.000 0.000 0.000 4.478 0.000 0.000 0.000 18.406" Properties=species:S:1:pos:R:3 pbc="T T T"
Mg 2.239 2.239 0.000
Mg 2.239 2.239 4.580
Mg 2.239 2.239 9.203
Mg 2.239 2.239 13.826
Mg 2.239 0.000 2.257
Mg 2.239 0.000 6.884
Mg 2.239 0.000 11.522
Mg 2.239 0.000 16.149
Mg 0.000 2.239 2.257
Mg 0.000 2.239 6.884
Mg 0.000 2.239 11.522
Mg 0.000 2.239 16.149
Tl 0.000 0.000 4.580
Tl 0.000 0.000 9.203
Tl 0.000 0.000 13.826
In 0.000 0.000 0.000
```